[1]
First-principles (PBE) data for crystalline KRb8Na5 at its relaxed geometry, as listed in Alexandria via LeMat-Bulk.

It has space group I-4 (No. 82), with a = 12.575 Å, b = 12.575 Å, c = 12.577 Å, α = 90.00°, β = 90.00° and γ = 90.00°. The inequivalent atoms are K at (0.000, 0.000, 0.000), Rb at (0.074, 0.336, 0.040), Rb at (0.077, 0.181, 0.674), Na at (0.000, 0.500, 0.750) and Na at (0.132, 0.254, 0.351).

The calculated formation energy comes out at 0.066 eV per atom.


[2]
First-principles (PBE) data for crystalline Li2TcSb at its relaxed geometry, as listed in Alexandria via LeMat-Bulk.

It has space group C2/m (No. 12), with a = 10.450 Å, b = 3.166 Å, c = 4.358 Å, α = 90.00°, β = 114.44° and γ = 90.00°. The inequivalent atoms are Li at (0.246, 0.000, 0.246), Tc at (0.000, 0.500, 0.000) and Sb at (0.000, 0.000, 0.500).


[3]
First-principles (PBE) data for crystalline Cd2In2Pd at its relaxed geometry, as listed in Alexandria via LeMat-Bulk.

It has space group Ibam (No. 72), with a = 6.140 Å, b = 12.610 Å, c = 5.839 Å, α = 90.00°, β = 90.00° and γ = 90.00°. The inequivalent atoms are Cd at (0.148, 0.094, 0.000), In at (0.166, 0.328, 0.000) and Pd at (0.000, 0.500, 0.250).

The calculated formation energy comes out at -0.168 eV per atom. As for the distance to the lowest polymorph of the same formula: 0.0 meV/atom.


[4]
First-principles (PBE) data for crystalline CePN2 at its relaxed geometry, as listed in Alexandria via LeMat-Bulk.

It has space group Imm2 (No. 44), with a = 3.676 Å, b = 5.654 Å, c = 6.056 Å, α = 90.00°, β = 90.00° and γ = 90.00°. The inequivalent atoms are Ce at (0.000, 0.000, 0.000), P at (0.000, 0.000, 0.521) and N at (0.000, 0.240, 0.371).

As for the distance to the lowest polymorph of the same formula: 0.0 meV/atom.


[5]
First-principles (PBE) data for crystalline Y8Te3Se3S at its relaxed geometry, as listed in Alexandria via LeMat-Bulk.

It has space group R-3m (No. 166, hexagonal axes), with a = 8.3024 Å, b = 8.3024 Å, c = 20.7981 Å, α = 90.00°, β = 90.00° and γ = 120.00°. The inequivalent atoms are Y at (0.0000, 0.0000, 0.2377), Y at (0.0140, 0.5070, 0.2378), Te at (0.0000, 0.5000, 0.0000), Se at (0.0000, 0.5000, 0.5000) and S at (0.0000, 0.0000, 0.5000).


[6]
First-principles (PBE) data for crystalline La2ReAg at its relaxed geometry, as listed in Alexandria via LeMat-Bulk.

It has space group Pm (No. 6), with a = 3.677 Å, b = 5.168 Å, c = 5.234 Å, α = 90.00°, β = 90.06° and γ = 90.00°. The inequivalent atoms are La at (0.000, 0.000, 0.000), La at (0.009, 0.500, 0.515), Re at (0.505, 0.500, 0.045) and Ag at (0.505, 0.000, 0.485).

The calculated formation energy comes out at 0.208 eV per atom. As for the distance to the lowest polymorph of the same formula: 152.7 meV/atom.


[7]
First-principles (PBE) data for crystalline Y2VCd at its relaxed geometry, as listed in Alexandria via LeMat-Bulk.

It has space group I-42d (No. 122), with a = 4.498 Å, b = 4.498 Å, c = 21.466 Å, α = 90.00°, β = 90.00° and γ = 90.00°. The inequivalent atoms are Y at (0.249, 0.250, 0.125), V at (0.000, 0.000, 0.000) and Cd at (0.000, 0.000, 0.500).

The calculated formation energy comes out at 0.658 eV per atom. As for the distance to the lowest polymorph of the same formula: 650.2 meV/atom.


[8]
First-principles (PBE) data for crystalline LaBe2Rh2 at its relaxed geometry, as listed in Alexandria via LeMat-Bulk.

It has space group I4/mmm (No. 139), with a = 3.981 Å, b = 3.981 Å, c = 10.109 Å, α = 90.00°, β = 90.00° and γ = 90.00°. The inequivalent atoms are La at (0.000, 0.000, 0.000), Be at (0.000, 0.500, 0.250) and Rh at (0.000, 0.000, 0.361).

The calculated formation energy comes out at -0.540 eV per atom. As for the distance to the lowest polymorph of the same formula: 52.0 meV/atom.


[9]
First-principles (PBE) data for crystalline EuSi2Au2 at its relaxed geometry, as listed in Alexandria via LeMat-Bulk.

It has space group C2/m (No. 12), with a = 6.200 Å, b = 6.206 Å, c = 5.948 Å, α = 90.00°, β = 121.13° and γ = 90.00°. The inequivalent atoms are Eu at (0.000, 0.000, 0.000), Si at (0.115, 0.500, 0.229) and Au at (0.000, 0.250, 0.500).


[10]
First-principles (PBE) data for crystalline ScHg2Te at its relaxed geometry, as listed in Alexandria via LeMat-Bulk.

It has space group F-43m (No. 216), with a = 7.365 Å, b = 7.365 Å, c = 7.365 Å, α = 90.00°, β = 90.00° and γ = 90.00°. The inequivalent atoms are Sc at (0.000, 0.000, 0.000), Hg at (0.000, 0.000, 0.500), Hg at (0.250, 0.250, 0.250) and Te at (0.250, 0.250, 0.750).


[11]
First-principles (PBE) data for crystalline Ho5CdRh6 at its relaxed geometry, as listed in Alexandria via LeMat-Bulk.

It has space group Cmmm (No. 65), with a = 4.753 Å, b = 14.279 Å, c = 6.785 Å, α = 90.00°, β = 90.00° and γ = 90.00°. The inequivalent atoms are Ho at (0.000, 0.000, 0.000), Ho at (0.000, 0.333, 0.000), Ho at (0.000, 0.341, 0.500), Cd at (0.000, 0.000, 0.500), Rh at (0.000, 0.168, 0.251) and Rh at (0.000, 0.500, 0.242).

The calculated formation energy comes out at -0.819 eV per atom.


[12]
First-principles (PBE) data for crystalline RhAuNO2 at its relaxed geometry, as listed in Alexandria via LeMat-Bulk.

It has space group P4/mmm (No. 123), with a = 4.088 Å, b = 4.088 Å, c = 3.701 Å, α = 90.00°, β = 90.00° and γ = 90.00°. The inequivalent atoms are Rh at (0.000, 0.000, 0.000), Au at (0.500, 0.500, 0.500), N at (0.000, 0.000, 0.500) and O at (0.000, 0.500, 0.000).


[13]
First-principles (PBE) data for crystalline Zr4BN at its relaxed geometry, as listed in Alexandria via LeMat-Bulk.

It has space group P2_1/c (No. 14), with a = 5.838 Å, b = 5.857 Å, c = 5.879 Å, α = 90.00°, β = 93.84° and γ = 90.00°. The inequivalent atoms are Zr at (0.135, 0.152, 0.169), Zr at (0.342, 0.643, 0.122), B at (0.500, 0.000, 0.000) and N at (0.000, 0.000, 0.500).

As for the distance to the lowest polymorph of the same formula: 183.2 meV/atom.


We obtain E values of -1.04 -4.59 -2.67 -7.85 -6.52 -6.08 -5.08 -5.96 -6.08 -2.76 -6.48 -5.06 -8.81 eV per atom for the records listed above, in that order.